Record 1
# CeZnNi4

A relaxed structure of CeZnNi4 (PBEsol, Alexandria).

Values from the calculation:
Raw total energy, Ry per atom: -0.426
Crystal system: hexagonal
Energy of formation, meV per atom: -325

Structure (POSCAR):
```
CeZnNi4
1.0
-3.1345 -1.0403 -2.0343
2.6938 -3.3512 -2.4369
-2.3030 -1.2533 4.1893
Ni Ce Zn
4 1 1
Direct
0.0000 0.3333 0.6667 Ni
0.5000 0.4977 0.5023 Ni
0.5000 0.4977 0.9955 Ni
0.5000 0.0045 0.5023 Ni
0.0000 0.0000 0.0000 Ce
0.0000 0.6667 0.3333 Zn
```

=====

Record 2
# CeO

A relaxed structure of CeO (PBEsol, Alexandria).

Values from the calculation:
Raw total energy, Ry per atom: -0.651
Formation energy from raw total energies, eV/atom: -2.934
Crystal system: cubic

Structure (POSCAR):
```
CeO
1.0
-2.6502 -0.4138 2.2050
-0.0493 -2.7139 2.1654
0.4818 0.4861 3.4042
O Ce
1 1
Direct
0.5000 0.5000 0.5000 O
0.0000 0.0000 0.0000 Ce
```

=====

Record 3
# CeP2O7

A relaxed structure of CeP2O7 (PBEsol, Alexandria).

Values from the calculation:
Raw total energy, Ry per atom: -0.595
Formation energy from raw total energies, eV/atom: -2.605
Crystal system: cubic

Structure (POSCAR):
```
CeP2O7
1.0
-3.2582 2.3377 7.8795
6.0401 -5.0672 4.0010
5.5739 6.8575 0.2704
O Ce P
28 4 8
Direct
0.5566 0.7663 0.5725 O
0.9434 0.2663 0.5725 O
0.5725 0.5566 0.7663 O
0.0725 0.5566 0.7337 O
0.7337 0.4275 0.0566 O
0.2663 0.9275 0.4434 O
0.4434 0.2663 0.9275 O
0.7337 0.0725 0.5566 O
0.5725 0.9434 0.2663 O
0.0566 0.7663 0.9275 O
0.0566 0.7337 0.4275 O
0.5000 0.5000 0.5000 O
0.7663 0.5725 0.5566 O
0.0000 0.5000 0.0000 O
0.4275 0.4434 0.2337 O
0.4275 0.0566 0.7337 O
0.7663 0.9275 0.0566 O
0.2337 0.4275 0.4434 O
0.9434 0.2337 0.0725 O
0.4434 0.2337 0.4275 O
0.2337 0.0725 0.9434 O
0.2663 0.5725 0.9434 O
0.0000 0.0000 0.5000 O
0.0725 0.9434 0.2337 O
0.5566 0.7337 0.0725 O
0.9275 0.4434 0.2663 O
0.9275 0.0566 0.7663 O
0.5000 0.0000 0.0000 O
0.0000 0.0000 0.0000 Ce
0.5000 0.5000 0.0000 Ce
0.0000 0.5000 0.5000 Ce
0.5000 0.0000 0.5000 Ce
0.3969 0.3969 0.3969 P
0.8969 0.3969 0.1031 P
0.6031 0.8969 0.1031 P
0.1031 0.8969 0.3969 P
0.1031 0.6031 0.8969 P
0.6031 0.6031 0.6031 P
0.3969 0.1031 0.8969 P
0.8969 0.1031 0.6031 P
```

=====

Record 4
# CeP3O9

A relaxed structure of CeP3O9 (PBEsol, Alexandria).

Values from the calculation:
Raw total energy, Ry per atom: -0.584
Formation energy from raw total energies, eV/atom: -2.472
Crystal system: orthorhombic

Structure (POSCAR):
```
CeP3O9
1.0
7.0719 -0.0133 0.0000
-1.8493 6.8259 0.0000
0.0000 0.0000 7.3534
O P Ce
18 6 2
Direct
0.2854 0.6752 0.9599 O
0.0286 0.2470 0.5437 O
0.2823 0.0289 0.0367 O
0.9711 0.7177 0.4633 O
0.6752 0.2854 0.0401 O
0.6740 0.6341 0.8316 O
0.9714 0.7530 0.0437 O
0.6341 0.6740 0.1684 O
0.8760 0.1240 0.2500 O
0.3659 0.3260 0.6684 O
0.7146 0.3248 0.4599 O
0.1240 0.8760 0.7500 O
0.7530 0.9714 0.9563 O
0.7177 0.9711 0.5367 O
0.3248 0.7146 0.5401 O
0.2470 0.0286 0.4563 O
0.3260 0.3659 0.3316 O
0.0289 0.2823 0.9633 O
0.7517 0.7517 0.0000 P
0.8148 0.1645 0.4532 P
0.1852 0.8355 0.9532 P
0.8355 0.1852 0.0468 P
0.2483 0.2483 0.5000 P
0.1645 0.8148 0.5468 P
0.3759 0.3759 0.0000 Ce
0.6241 0.6241 0.5000 Ce
```

=====

Record 5
# CeTl2P5O15

A relaxed structure of CeTl2P5O15 (PBEsol, Alexandria).

Values from the calculation:
Raw total energy, Ry per atom: -0.543
Formation energy from raw total energies, eV/atom: -2.192
Crystal system: monoclinic

Structure (POSCAR):
```
CeTl2P5O15
1.0
7.2504 -0.0160 -0.0040
-2.2323 6.8983 -0.0040
-0.1240 -0.1701 13.3744
O Ce P Tl
30 2 10 4
Direct
0.9216 0.8379 0.6298 O
0.8020 0.8795 0.4236 O
0.0047 0.1936 0.5054 O
0.5526 0.6639 0.8425 O
0.3720 0.1030 0.3319 O
0.1702 0.7049 0.9010 O
0.4271 0.8940 0.4786 O
0.8940 0.4271 0.9786 O
0.1936 0.0047 0.0054 O
0.9910 0.5125 0.6504 O
0.5125 0.9910 0.1504 O
0.1552 0.9996 0.8131 O
0.6505 0.5302 0.6066 O
0.2546 0.4556 0.9986 O
0.2986 0.3459 0.1701 O
0.4556 0.2546 0.4986 O
0.0191 0.7484 0.3124 O
0.1864 0.6499 0.1468 O
0.5302 0.6505 0.1066 O
0.3459 0.2986 0.6701 O
0.6126 0.9217 0.9811 O
0.9996 0.1552 0.3131 O
0.7484 0.0191 0.8124 O
0.6499 0.1864 0.6468 O
0.6639 0.5526 0.3425 O
0.1030 0.3720 0.8319 O
0.7049 0.1702 0.4010 O
0.8795 0.8020 0.9236 O
0.9217 0.6126 0.4811 O
0.8379 0.9216 0.1298 O
0.1736 0.9889 0.1891 Ce
0.9889 0.1736 0.6891 Ce
0.6308 0.8831 0.0984 P
0.3036 0.5239 0.1125 P
0.4772 0.0822 0.4257 P
0.8831 0.6308 0.5984 P
0.8484 0.6932 0.3810 P
0.8968 0.1084 0.4110 P
0.6932 0.8484 0.8810 P
0.1084 0.8968 0.9110 P
0.0822 0.4772 0.9257 P
0.5239 0.3036 0.6125 P
0.3738 0.7785 0.6834 Tl
0.2979 0.5188 0.3778 Tl
0.7785 0.3738 0.1834 Tl
0.5188 0.2979 0.8778 Tl
```

=====

Record 6
# CeTlP4O12

A relaxed structure of CeTlP4O12 (PBEsol, Alexandria).

Values from the calculation:
Raw total energy, Ry per atom: -0.559
Formation energy from raw total energies, eV/atom: -2.305
Crystal system: monoclinic

Structure (POSCAR):
```
CeTlP4O12
1.0
-6.7927 6.0822 -0.5664
-1.3291 -0.5116 10.4467
7.3139 8.0082 -1.7196
P O Tl Ce
16 48 4 4
Direct
0.5985 0.8545 0.7391 P
0.1726 0.9598 0.1431 P
0.9015 0.3545 0.2391 P
0.4015 0.1455 0.2609 P
0.8274 0.0402 0.8569 P
0.4765 0.2502 0.7282 P
0.1005 0.3224 0.0208 P
0.8995 0.6776 0.9792 P
0.6726 0.5402 0.3569 P
0.5235 0.7498 0.2718 P
0.3274 0.4598 0.6431 P
0.6005 0.1776 0.4792 P
0.0985 0.6455 0.7609 P
0.9765 0.2498 0.7718 P
0.0235 0.7502 0.2282 P
0.3995 0.8224 0.5208 P
0.8149 0.2396 0.2547 O
0.2426 0.9339 0.0149 O
0.5540 0.8288 0.5939 O
0.6851 0.7396 0.7547 O
0.1548 0.1833 0.9841 O
0.4106 0.6478 0.2136 O
0.5894 0.3522 0.7864 O
0.4596 0.8565 0.3953 O
0.9106 0.8522 0.2864 O
0.0349 0.0388 0.1742 O
0.3004 0.9303 0.5918 O
0.9460 0.3288 0.0939 O
0.0540 0.6712 0.9061 O
0.1552 0.8178 0.1702 O
0.0894 0.1478 0.7136 O
0.9596 0.6435 0.1047 O
0.5349 0.4612 0.3258 O
0.7574 0.0661 0.9851 O
0.8452 0.8167 0.0159 O
0.4651 0.5388 0.6742 O
0.5886 0.8269 0.1891 O
0.0886 0.6731 0.3109 O
0.3149 0.2604 0.2453 O
0.6552 0.6822 0.3298 O
0.3448 0.3178 0.6702 O
0.3452 0.6833 0.4841 O
0.6548 0.3167 0.5159 O
0.8004 0.5697 0.9082 O
0.2071 0.5223 0.7506 O
0.4460 0.1712 0.4061 O
0.4114 0.1731 0.8109 O
0.5316 0.1021 0.1757 O
0.7071 0.9777 0.7494 O
0.2574 0.4339 0.5149 O
0.0404 0.3565 0.8953 O
0.7426 0.5661 0.4851 O
0.6996 0.0697 0.4082 O
0.0316 0.3979 0.3243 O
0.1996 0.4303 0.0918 O
0.9684 0.6021 0.6757 O
0.7929 0.4777 0.2494 O
0.9651 0.9612 0.8258 O
0.9114 0.3269 0.6891 O
0.8448 0.1822 0.8298 O
0.1851 0.7604 0.7453 O
0.2929 0.0223 0.2506 O
0.5404 0.1435 0.6047 O
0.4684 0.8979 0.8243 O
0.5676 0.2827 0.0411 Tl
0.0676 0.2173 0.4589 Tl
0.4324 0.7173 0.9589 Tl
0.9324 0.7827 0.5411 Tl
0.2267 0.9998 0.8143 Ce
0.7733 0.0002 0.1857 Ce
0.7267 0.5002 0.6857 Ce
0.2733 0.4998 0.3143 Ce
```

=====

Record 7
# CeZnPO

A relaxed structure of CeZnPO (PBEsol, Alexandria).

Values from the calculation:
Raw total energy, Ry per atom: -0.485
Formation energy from raw total energies, eV/atom: -1.798
Crystal system: trigonal

Structure (POSCAR):
```
CeZnPO
1.0
3.9295 0.0000 0.0000
1.9648 3.4031 0.0000
1.9648 1.1344 10.1415
P Zn Ce O
2 2 2 2
Direct
0.1135 0.1135 0.6594 P
0.8865 0.8865 0.3406 P
0.1961 0.1961 0.4118 Zn
0.8039 0.8039 0.5882 Zn
0.3813 0.3813 0.8561 Ce
0.6187 0.6187 0.1439 Ce
0.3050 0.3050 0.0850 O
0.6950 0.6950 0.9150 O
```

=====

Record 8
# CePrO2

A relaxed structure of CePrO2 (PBEsol, Alexandria).

Values from the calculation:
Raw total energy, Ry per atom: -0.620
Formation energy from raw total energies, eV/atom: -2.860
Crystal system: trigonal

Structure (POSCAR):
```
CePrO2
1.0
3.5238 0.0000 0.0000
1.7619 3.0517 0.0000
1.7619 1.0172 5.7121
Pr Ce O
1 1 2
Direct
0.5000 0.5000 0.5000 Pr
0.0000 0.0000 0.0000 Ce
0.7458 0.7458 0.7627 O
0.2542 0.2542 0.2373 O
```